Mn2TlO6: optimized geometry, PBE with a Hubbard U.

Volume, Å³ per atom: 12.35
Symmetry: P-3 (147)
Excess energy over the best structure of this formula in the dataset, meV/atom: 486
Final energy, eV per atom: -5.743

Structure (CIF):
```
data_Mn2TlO6
_space_group_name_H-M_alt 'P 1'
_space_group_IT_number 1
_cell_length_a 2.757
_cell_length_b 6.822
_cell_length_c 6.822
_cell_angle_alpha 120.00
_cell_angle_beta 90.00
_cell_angle_gamma 90.00
loop_
_space_group_symop_operation_xyz
'x,y,z'
loop_
_atom_site_label
_atom_site_type_symbol
_atom_site_fract_x
_atom_site_fract_y
_atom_site_fract_z
Mn1 Mn 0.212 0.667 0.333
Mn2 Mn 0.788 0.333 0.667
Tl1 Tl 0.500 0.000 0.000
O1 O 0.291 0.564 0.760
O2 O 0.291 0.196 0.436
O3 O 0.291 0.240 0.804
O4 O 0.709 0.436 0.240
O5 O 0.709 0.804 0.564
O6 O 0.709 0.760 0.196
```